[1]
The following is a DFT calculation (PBE) of crystalline AlOsPb2 at its relaxed geometry.

Its formation energy is 1.1373 eV per atom. For the density of states at the Fermi level, the calculation gives 7.05 states/eV/cell. For the magnetic moment, the calculation gives 0.00 μB per formula unit.

a = 6.577 Å, b = 6.577 Å, c = 7.454 Å
α = 63.82°, β = 63.82°, γ = 90.00°
Sites, in units of the cell vectors:
Pb 0.651 0.125 0.250
Pb 0.099 0.625 0.250
Pb 0.375 0.349 0.750
Pb 0.875 0.901 0.750
Os 0.000 0.000 0.000
Os 0.750 0.250 0.500
Al 0.500 0.500 0.000
Al 0.250 0.750 0.500

[2]
The following is a DFT calculation (PBE) of crystalline PuUIrOs at its relaxed geometry.

Its formation energy is -0.2718 eV per atom. For the density of states at the Fermi level, the calculation gives 5.64 states/eV/cell. For the magnetic moment, the calculation gives 3.53 μB per formula unit.

a = 4.628 Å, b = 4.628 Å, c = 4.628 Å
α = 60.00°, β = 60.00°, γ = 60.00°
Sites, in units of the cell vectors:
Os 0.250 0.250 0.250
Ir 0.000 0.000 0.000
U 0.500 0.500 0.500
Pu 0.750 0.750 0.750

[3]
The following is a DFT calculation (PBE) of crystalline MgZn8Ru2 at its relaxed geometry.

Its formation energy is 0.0299 eV per atom. For the density of states at the Fermi level, the calculation gives 5.04 states/eV/cell. For the magnetic moment, the calculation gives 0.00 μB per formula unit.

a = 4.284 Å, b = 6.505 Å, c = 6.505 Å
α = 104.94°, β = 89.98°, γ = 89.98°
Sites, in units of the cell vectors:
Mg 0.500 0.000 0.000
Zn 0.000 0.971 0.691
Zn 0.000 0.691 0.971
Zn 0.500 0.664 0.664
Zn 0.500 0.259 0.741
Zn 0.500 0.741 0.259
Zn 0.500 0.336 0.336
Zn 0.000 0.309 0.029
Zn 0.000 0.029 0.309
Ru 0.000 0.618 0.382
Ru 0.000 0.382 0.618

[4]
The following is a DFT calculation (PBE) of crystalline Sr2Ta at its relaxed geometry.

Its formation energy is 0.7032 eV per atom. For the density of states at the Fermi level, the calculation gives 9.26 states/eV/cell. For the magnetic moment, the calculation gives 0.35 μB per formula unit.

a = 14.366 Å, b = 14.366 Å, c = 4.668 Å
α = 90.00°, β = 90.00°, γ = 165.64°
Sites, in units of the cell vectors:
Sr 0.416 0.584 0.250
Sr 0.584 0.416 0.750
Sr 0.698 0.302 0.250
Sr 0.302 0.698 0.750
Ta 0.016 0.984 0.250
Ta 0.984 0.016 0.750

[5]
The following is a DFT calculation (PBE) of crystalline MgBe2C at its relaxed geometry.

Its formation energy is 0.0711 eV per atom. For the density of states at the Fermi level, the calculation gives 0.93 states/eV/cell. For the magnetic moment, the calculation gives 0.00 μB per formula unit.

a = 4.940 Å, b = 6.177 Å, c = 3.027 Å
α = 90.00°, β = 90.00°, γ = 90.00°
Sites, in units of the cell vectors:
Be 0.205 0.392 0.000
Be 0.705 0.608 0.500
Be 0.295 0.608 0.500
Be 0.795 0.392 0.000
Mg 0.000 0.055 0.500
Mg 0.500 0.945 0.000
C 0.000 0.430 0.500
C 0.500 0.570 0.000

[6]
The following is a DFT calculation (PBE) of crystalline Er2Co2Si3 at its relaxed geometry.

As for the formation energy from raw total energies: -5.03 eV per formula unit. For the density of states at the Fermi level, the calculation gives 9.91 states/eV/cell. For the magnetic moment, the calculation gives 0.00 μB per formula unit.

a = 4.001 Å, b = 6.607 Å, c = 8.747 Å
α = 90.00°, β = 103.22°, γ = 90.00°
Sites, in units of the cell vectors:
Er 0.160 0.250 0.320
Er 0.840 0.750 0.680
Er 0.946 0.250 0.891
Er 0.054 0.750 0.109
Co 0.694 0.944 0.387
Co 0.306 0.056 0.613
Co 0.306 0.444 0.613
Co 0.694 0.556 0.387
Si 0.223 0.750 0.446
Si 0.777 0.250 0.554
Si 0.565 0.433 0.129
Si 0.435 0.567 0.871
Si 0.435 0.933 0.871
Si 0.565 0.067 0.129

[7]
The following is a DFT calculation (PBE) of crystalline La5Bi3Br at its relaxed geometry.

As for the formation energy from raw total energies: -9.77 eV per formula unit. For the density of states at the Fermi level, the calculation gives 14.90 states/eV/cell. For the magnetic moment, the calculation gives 0.00 μB per formula unit.

a = 9.812 Å, b = 9.812 Å, c = 6.877 Å
α = 90.00°, β = 90.00°, γ = 120.00°
Sites, in units of the cell vectors:
La 0.727 0.000 0.750
La 0.000 0.273 0.250
La 0.727 0.727 0.250
La 0.333 0.667 0.500
La 0.333 0.667 0.000
La 0.667 0.333 0.500
La 0.667 0.333 0.000
La 0.273 0.000 0.250
La 0.273 0.273 0.750
La 0.000 0.727 0.750
Bi 0.383 0.000 0.750
Bi 0.617 0.000 0.250
Bi 0.000 0.617 0.250
Bi 0.617 0.617 0.750
Bi 0.000 0.383 0.750
Bi 0.383 0.383 0.250
Br 0.000 0.000 0.500
Br 0.000 0.000 0.000

[8]
The following is a DFT calculation (PBE) of crystalline RbHo2Cl8 at its relaxed geometry.

As for the formation energy from raw total energies: -21.34 eV per formula unit. For the density of states at the Fermi level, the calculation gives 5.14 states/eV/cell. For the magnetic moment, the calculation gives 1.10 μB per formula unit.

a = 8.332 Å, b = 6.955 Å, c = 6.955 Å
α = 73.93°, β = 80.22°, γ = 80.22°
Sites, in units of the cell vectors:
Rb 0.000 0.000 0.000
Ho 0.462 0.322 0.322
Ho 0.538 0.678 0.678
Cl 0.349 0.665 0.045
Cl 0.651 0.955 0.335
Cl 0.199 0.230 0.230
Cl 0.801 0.770 0.770
Cl 0.349 0.045 0.665
Cl 0.651 0.335 0.955
Cl 0.706 0.440 0.440
Cl 0.294 0.560 0.560

[9]
The following is a DFT calculation (PBE) of crystalline Sc4AlSe at its relaxed geometry.

As for the formation energy from raw total energies: 0.64 eV per formula unit. For the density of states at the Fermi level, the calculation gives 6.93 states/eV/cell. For the magnetic moment, the calculation gives 0.00 μB per formula unit.

a = 5.763 Å, b = 5.763 Å, c = 5.763 Å
α = 60.00°, β = 60.00°, γ = 60.00°
Sites, in units of the cell vectors:
Sc 0.879 0.374 0.374
Sc 0.374 0.374 0.879
Sc 0.374 0.879 0.374
Sc 0.374 0.374 0.374
Al 0.000 0.000 0.000
Se 0.750 0.750 0.750

[10]
The following is a DFT calculation (PBE) of crystalline Pb2C at its relaxed geometry.

Its formation energy is 2.3459 eV per atom. For the density of states at the Fermi level, the calculation gives 3.96 states/eV/cell. For the magnetic moment, the calculation gives 1.33 μB per formula unit.

a = 6.314 Å, b = 6.314 Å, c = 6.314 Å
α = 60.00°, β = 60.00°, γ = 60.00°
Sites, in units of the cell vectors:
Pb 0.625 0.125 0.125
Pb 0.125 0.625 0.125
Pb 0.125 0.125 0.625
Pb 0.125 0.125 0.125
C 0.500 0.500 0.500
C 0.750 0.750 0.750

[11]
The following is a DFT calculation (PBE) of crystalline Tm6Te3CSe2 at its relaxed geometry.

As for the formation energy from raw total energies: -15.70 eV per formula unit. For the density of states at the Fermi level, the calculation gives 5.30 states/eV/cell. For the magnetic moment, the calculation gives 0.00 μB per formula unit.

a = 7.007 Å, b = 7.007 Å, c = 7.220 Å
α = 99.26°, β = 99.26°, γ = 119.83°
Sites, in units of the cell vectors:
Tm 0.934 0.639 0.801
Tm 0.776 0.776 0.208
Tm 0.066 0.361 0.199
Tm 0.639 0.934 0.801
Tm 0.224 0.224 0.792
Tm 0.361 0.066 0.199
Te 0.177 0.823 0.500
Te 0.823 0.177 0.500
Te 0.500 0.500 0.500
C 0.000 0.000 0.000
Se 0.335 0.665 0.000
Se 0.665 0.335 0.000

[12]
The following is a DFT calculation (PBE) of crystalline BeNbPt3 at its relaxed geometry.

Its formation energy is -0.0816 eV per atom. For the density of states at the Fermi level, the calculation gives 7.37 states/eV/cell. For the magnetic moment, the calculation gives 2.64 μB per formula unit.

a = 4.265 Å, b = 4.265 Å, c = 4.265 Å
α = 90.00°, β = 90.00°, γ = 90.00°
Sites, in units of the cell vectors:
Be 0.000 0.000 0.000
Nb 0.500 0.500 0.500
Pt 0.000 0.500 0.000
Pt 0.000 0.000 0.500
Pt 0.500 0.000 0.000

Among the records above, which one has the highest magnetic moment?
PuUIrOs

What did the third record say?
The following is a DFT calculation (PBE) of crystalline MgZn8Ru2 at its relaxed geometry.

Its formation energy is 0.0299 eV per atom. For the density of states at the Fermi level, the calculation gives 5.04 states/eV/cell. For the magnetic moment, the calculation gives 0.00 μB per formula unit.

a = 4.284 Å, b = 6.505 Å, c = 6.505 Å
α = 104.94°, β = 89.98°, γ = 89.98°
Sites, in units of the cell vectors:
Mg 0.500 0.000 0.000
Zn 0.000 0.971 0.691
Zn 0.000 0.691 0.971
Zn 0.500 0.664 0.664
Zn 0.500 0.259 0.741
Zn 0.500 0.741 0.259
Zn 0.500 0.336 0.336
Zn 0.000 0.309 0.029
Zn 0.000 0.029 0.309
Ru 0.000 0.618 0.382
Ru 0.000 0.382 0.618

Look up the magnetic moment of the second one.
3.53 μB per formula unit